(1)
Here is crystalline RbSiB at its relaxed geometry from Alexandria. Energies are from PBE.

Output
* space-group type: P-1, No. 2
* uncorrected formation energy: 532 meV per atom
* spin magnetization: 0.0 μB per formula unit

a b c (Å): 5.3699 6.4071 6.4447
angles (deg): 60.33 89.99 89.92
Atoms (fractional coordinates):
Rb (0.2504, 0.1879, 0.1250)
Rb (0.7496, 0.8121, 0.8750)
Si (0.0000, 0.5000, 0.5000)
Si (0.5000, 0.5000, 0.5000)
B (0.2498, 0.6177, 0.2661)
B (0.7502, 0.3823, 0.7339)



(2)
Here is crystalline RbCuSb2Cl8 at its relaxed geometry from Alexandria. Energies are from PBE.

Output
* space-group type: P-1, No. 2
* uncorrected formation energy: -987 meV per atom
* spin magnetization: 0.2 μB per formula unit

a b c (Å): 7.3536 7.7780 8.2655
angles (deg): 98.41 108.24 108.32
Atoms (fractional coordinates):
Rb (0.0000, 0.0000, 0.0000)
Cu (0.5000, 0.0000, 0.5000)
Sb (0.2814, 0.5394, 0.7326)
Sb (0.7186, 0.4606, 0.2674)
Cl (0.0111, 0.3466, 0.8158)
Cl (0.0873, 0.7372, 0.6590)
Cl (0.4174, 0.2076, 0.3910)
Cl (0.4893, 0.7421, 0.0307)
Cl (0.5107, 0.2579, 0.9693)
Cl (0.5826, 0.7924, 0.6090)
Cl (0.9127, 0.2628, 0.3410)
Cl (0.9889, 0.6534, 0.1842)



(3)
Here is crystalline Ti2IrPt at its relaxed geometry from Alexandria. Energies are from PBE.

Output
* space-group type: C2/m, No. 12
* E: -8.547 eV per atom
* spin magnetization: 0.0 μB per formula unit

a b c (Å): 5.4932 5.4932 4.6134
angles (deg): 92.98 92.98 62.47
Atoms (fractional coordinates):
Ti (0.1397, 0.6438, 0.7720)
Ti (0.3562, 0.8603, 0.2280)
Ti (0.6438, 0.1397, 0.7720)
Ti (0.8603, 0.3562, 0.2280)
Ir (0.1440, 0.1440, 0.7202)
Ir (0.8560, 0.8560, 0.2798)
Pt (0.3527, 0.3527, 0.2758)
Pt (0.6473, 0.6473, 0.7242)